No. 1
Computed, not measured: a relaxed MnCuCl2 crystal at the GGA-PBE level of DFT.

a = 3.412 Å, b = 3.412 Å, c = 8.105 Å
α = 90.00°, β = 90.00°, γ = 115.18°
Fractional positions:
Mn 0.000 0.000 0.000
Cu 0.500 0.500 0.785
Cl 0.000 0.000 0.622
Cl 0.500 0.500 0.190

Values from the calculation:
Space-group type ... Cmm2
V ... 21.35 A^3/atom
E above lowest polymorph ... 0.0559 eV/atom
Formation energy from raw total energies ... -0.31 eV per atom



No. 2
Computed, not measured: a relaxed Li2YTe crystal at the GGA-PBE level of DFT.

a = 6.374 Å, b = 6.374 Å, c = 6.374 Å
α = 39.22°, β = 39.22°, γ = 39.22°
Fractional positions:
Li 0.215 0.215 0.215
Li 0.785 0.785 0.785
Y 0.000 0.000 0.000
Te 0.500 0.500 0.500

Values from the calculation:
Space-group type ... R-3m
V ... 23.29 A^3/atom
E above lowest polymorph ... 0.2116 eV/atom
Formation energy from raw total energies ... -0.38 eV per atom



No. 3
Computed, not measured: a relaxed HgSb2Ru2 crystal at the GGA-PBE level of DFT.

a = 6.509 Å, b = 6.509 Å, c = 6.509 Å
α = 141.75°, β = 141.75°, γ = 55.21°
Fractional positions:
Hg 0.000 0.000 0.000
Sb 0.250 0.750 0.500
Sb 0.750 0.250 0.500
Ru 0.387 0.387 0.000
Ru 0.613 0.613 0.000

Values from the calculation:
Space-group type ... I4/mmm
V ... 20.99 A^3/atom
E above lowest polymorph ... 0.1937 eV/atom
Formation energy from raw total energies ... 0.30 eV per atom



No. 4
Computed, not measured: a relaxed ScCuPt crystal at the GGA-PBE level of DFT.

a = 3.709 Å, b = 4.063 Å, c = 6.605 Å
α = 90.00°, β = 106.29°, γ = 90.00°
Fractional positions:
Sc 0.096 0.250 0.191
Sc 0.904 0.750 0.809
Cu 0.247 0.750 0.495
Cu 0.753 0.250 0.505
Pt 0.414 0.250 0.828
Pt 0.586 0.750 0.172

Values from the calculation:
Calculated formation energy ... -0.778 eV/atom
Space-group type ... P2_1/m
V ... 15.92 A^3/atom
E above lowest polymorph ... 0.0000 eV/atom



No. 5
Computed, not measured: a relaxed La2CrTc2 crystal at the GGA-PBE level of DFT.

a = 6.408 Å, b = 6.408 Å, c = 5.144 Å
α = 90.00°, β = 90.00°, γ = 90.00°
Fractional positions:
La 0.180 0.320 0.000
La 0.320 0.820 0.000
La 0.680 0.180 0.000
La 0.820 0.680 0.000
Cr 0.000 0.000 0.500
Cr 0.500 0.500 0.500
Tc 0.139 0.639 0.500
Tc 0.361 0.139 0.500
Tc 0.639 0.861 0.500
Tc 0.861 0.361 0.500

Values from the calculation:
Calculated formation energy ... 0.315 eV/atom
Space-group type ... P4/mbm
V ... 21.12 A^3/atom



No. 6
Computed, not measured: a relaxed Tm5Ag2Hg12 crystal at the GGA-PBE level of DFT.

a = 8.337 Å, b = 8.337 Å, c = 7.301 Å
α = 92.06°, β = 92.06°, γ = 63.88°
Fractional positions:
Tm 0.000 0.000 0.000
Tm 0.254 0.254 0.937
Tm 0.322 0.322 0.454
Tm 0.678 0.678 0.546
Tm 0.746 0.746 0.063
Ag 0.273 0.727 0.500
Ag 0.727 0.273 0.500
Hg 0.036 0.635 0.736
Hg 0.112 0.112 0.592
Hg 0.153 0.611 0.151
Hg 0.365 0.964 0.264
Hg 0.389 0.847 0.849
Hg 0.459 0.459 0.792
Hg 0.541 0.541 0.208
Hg 0.611 0.153 0.151
Hg 0.635 0.036 0.736
Hg 0.847 0.389 0.849
Hg 0.888 0.888 0.408
Hg 0.964 0.365 0.264

Values from the calculation:
Calculated formation energy ... -0.230 eV/atom
Space-group type ... C2/m
V ... 23.96 A^3/atom



No. 7
Computed, not measured: a relaxed GdCdPt2 crystal at the GGA-PBE level of DFT.

a = 4.832 Å, b = 4.832 Å, c = 4.832 Å
α = 60.00°, β = 60.00°, γ = 60.00°
Fractional positions:
Gd 0.000 0.000 0.000
Cd 0.500 0.500 0.500
Pt 0.250 0.250 0.250
Pt 0.750 0.750 0.750

Values from the calculation:
Calculated formation energy ... -0.800 eV/atom
Space-group type ... Fm-3m
V ... 19.94 A^3/atom



No. 8
Computed, not measured: a relaxed NdEuHoTm crystal at the GGA-PBE level of DFT.

a = 5.761 Å, b = 5.761 Å, c = 5.761 Å
α = 60.00°, β = 60.00°, γ = 60.00°
Fractional positions:
Nd 0.000 0.000 0.000
Eu 0.500 0.500 0.500
Ho 0.250 0.250 0.250
Tm 0.750 0.750 0.750

Values from the calculation:
Calculated formation energy ... 0.146 eV/atom
Space-group type ... F-43m
V ... 33.80 A^3/atom



No. 9
Computed, not measured: a relaxed La6MgGe2 crystal at the GGA-PBE level of DFT.

a = 9.105 Å, b = 9.105 Å, c = 9.105 Å
α = 111.32°, β = 110.29°, γ = 106.83°
Fractional positions:
La 0.043 0.246 0.797
La 0.170 0.472 0.301
La 0.170 0.869 0.699
La 0.325 0.225 0.550
La 0.325 0.775 0.101
La 0.449 0.246 0.203
La 0.551 0.754 0.797
La 0.675 0.225 0.899
La 0.675 0.775 0.450
La 0.830 0.131 0.301
La 0.830 0.528 0.699
La 0.957 0.754 0.203
Mg 0.000 0.000 0.000
Mg 0.500 0.500 0.000
Ge 0.165 0.500 0.665
Ge 0.381 0.881 0.500
Ge 0.619 0.119 0.500
Ge 0.835 0.500 0.335

Values from the calculation:
Calculated formation energy ... -0.417 eV/atom
Space-group type ... Immm
V ... 32.23 A^3/atom



No. 10
Computed, not measured: a relaxed LiSmAlPt2 crystal at the GGA-PBE level of DFT.

a = 6.706 Å, b = 6.706 Å, c = 6.706 Å
α = 146.23°, β = 146.23°, γ = 48.51°
Fractional positions:
Li 0.000 0.000 0.000
Sm 0.750 0.250 0.500
Al 0.500 0.500 0.000
Pt 0.136 0.636 0.500
Pt 0.364 0.864 0.500

Values from the calculation:
Calculated formation energy ... -0.972 eV/atom
Space-group type ... I-4m2
V ... 18.56 A^3/atom



No. 11
Computed, not measured: a relaxed SiAg2Pt crystal at the GGA-PBE level of DFT.

a = 9.268 Å, b = 9.268 Å, c = 9.268 Å
α = 17.85°, β = 17.85°, γ = 17.85°
Fractional positions:
Si 0.000 0.000 0.000
Ag 0.253 0.253 0.253
Ag 0.747 0.747 0.747
Pt 0.500 0.500 0.500

Values from the calculation:
Space-group type ... R-3m
V ... 16.32 A^3/atom
Formation energy from raw total energies ... 0.12 eV per atom



No. 12
Computed, not measured: a relaxed AcDyHg3 crystal at the GGA-PBE level of DFT.

a = 14.931 Å, b = 14.931 Å, c = 5.020 Å
α = 90.00°, β = 90.00°, γ = 165.34°
Fractional positions:
Ac 0.077 0.923 0.750
Ac 0.923 0.077 0.250
Dy 0.210 0.790 0.250
Dy 0.790 0.210 0.750
Hg 0.313 0.687 0.250
Hg 0.374 0.626 0.750
Hg 0.475 0.525 0.750
Hg 0.525 0.475 0.250
Hg 0.626 0.374 0.250
Hg 0.687 0.313 0.750

Values from the calculation:
Calculated formation energy ... -0.449 eV/atom
Space-group type ... Cmcm
V ... 28.32 A^3/atom